No. 1
SrMoOs2: optimized geometry, GGA-PBE.

```
SrMoOs2
1.0
-4.528 1.470 1.884
-2.750 0.693 4.263
0.769 5.477 1.215
Mo Os Sr
1 2 1
Cartesian
-1.987 1.452 1.960 Mo
-6.510 7.609 7.353 Os
-4.580 6.194 5.448 Os
-3.195 3.843 3.644 Sr
```

As for the density of states at the Fermi level: 1.14 states/eV per atom. Its energy above the most stable polymorph in this dataset is 202 meV/atom.

***

No. 2
TiNi: optimized geometry, GGA-PBE.

```
TiNi
1.0
3.011 0.000 0.000
0.000 3.011 0.000
0.000 0.000 3.011
Ni Ti
1 1
Cartesian
1.505 1.505 1.505 Ni
0.000 0.000 0.000 Ti
```

As for the density of states at the Fermi level: 1.68 states/eV per atom. For the raw total energy, the calculation gives -7.190 eV per atom.

***

No. 3
Co2Ge4Rh: optimized geometry, GGA-PBE.

```
Co2Ge4Rh
1.0
-2.066 -1.543 1.425
7.192 -2.222 8.017
-3.654 10.643 6.228
Rh Ge Co
4 16 8
Cartesian
3.513 1.445 8.180 Rh
-2.042 5.432 7.491 Rh
0.454 0.995 3.258 Rh
1.018 5.883 12.413 Rh
-1.139 -0.724 2.133 Ge
2.611 7.601 13.538 Ge
1.060 2.233 8.522 Ge
0.412 4.645 7.149 Ge
2.937 4.171 13.342 Ge
-1.466 2.707 2.329 Ge
-0.982 6.223 9.884 Ge
2.453 0.654 5.787 Ge
0.764 -1.300 4.267 Ge
0.707 8.178 11.404 Ge
2.972 1.630 10.641 Ge
-1.500 5.247 5.030 Ge
-1.893 8.093 7.543 Ge
3.365 -1.216 8.128 Ge
2.408 4.927 10.349 Ge
-0.937 1.950 5.322 Ge
-4.227 7.929 7.027 Co
5.698 -1.052 8.644 Co
0.232 4.304 9.565 Co
1.240 2.574 6.106 Co
-0.825 8.566 9.603 Co
2.296 -1.689 6.068 Co
4.093 3.604 11.358 Co
-2.622 3.274 4.313 Co
```

As for the density of states at the Fermi level: 0.49 states/eV per atom. For the raw total energy, the calculation gives -5.891 eV per atom.

***

No. 4
Fe2BiSbN: optimized geometry, GGA-PBE.

```
Fe2BiSbN
1.0
4.052 0.000 0.000
0.000 4.974 0.000
0.000 0.000 4.052
Sb N Bi Fe
1 1 1 2
Cartesian
0.000 2.487 0.000 Sb
0.000 0.000 0.000 N
2.026 2.487 2.026 Bi
0.000 0.000 2.026 Fe
2.026 0.000 0.000 Fe
```

As for the density of states at the Fermi level: 2.20 states/eV per atom. For the raw total energy, the calculation gives -5.782 eV per atom.

***

No. 5
RbAs2Pb2S6: optimized geometry, GGA-PBE.

```
RbAs2Pb2S6
1.0
7.707 -0.652 -0.242
3.700 6.710 -0.147
0.062 -3.915 6.798
Rb As Pb S
1 2 2 6
Cartesian
3.885 -2.283 3.278 Rb
4.339 2.045 5.697 As
7.130 0.099 0.711 As
7.578 -1.083 5.420 Pb
3.891 3.226 0.989 Pb
6.071 4.919 -0.085 S
8.550 1.786 1.101 S
4.590 3.373 3.976 S
2.920 0.357 5.307 S
6.880 -1.229 2.432 S
5.398 -2.775 6.493 S
```

As for the density of states at the Fermi level: 0.32 states/eV per atom. For the raw total energy, the calculation gives -4.203 eV per atom.

***

No. 6
CoCu2W: optimized geometry, GGA-PBE.

```
CoCu2W
1.0
-1.210 0.137 -4.299
-2.863 -1.543 -3.063
-3.215 3.250 0.118
Co Cu W
1 2 1
Cartesian
-1.917 0.527 -1.849 Co
-7.206 1.791 -7.208 Cu
-5.520 1.464 -5.395 Cu
-3.575 0.828 -3.658 W
```

As for the density of states at the Fermi level: 0.86 states/eV per atom. Its energy above the most stable polymorph in this dataset is 65 meV/atom.

***

No. 7
Pm12DyIn6: optimized geometry, GGA-PBE.

```
Pm12DyIn6
1.0
-7.029 4.331 -1.143
-3.690 -4.067 6.270
2.524 5.797 5.431
Pm Dy In
12 1 6
Cartesian
-6.528 3.878 4.746 Pm
-4.711 1.655 7.433 Pm
-3.273 5.198 6.515 Pm
-1.668 2.182 5.812 Pm
-3.485 4.406 3.125 Pm
-4.923 0.862 4.042 Pm
-0.006 2.038 2.769 Pm
-6.102 6.658 7.897 Pm
-5.543 3.987 9.864 Pm
-8.190 4.023 7.789 Pm
-2.094 -0.597 2.660 Pm
-2.653 2.074 0.693 Pm
0.000 0.000 0.000 Dy
-7.705 1.066 6.064 In
-5.924 2.820 1.523 In
-2.916 -0.915 6.003 In
-0.491 4.994 4.493 In
-2.271 3.240 9.035 In
-5.280 6.975 4.555 In
```

As for the density of states at the Fermi level: 1.01 states/eV per atom. For the raw total energy, the calculation gives -4.343 eV per atom.

***

No. 8
TiSn2Sb2: optimized geometry, GGA-PBE.

```
TiSn2Sb2
1.0
7.358 0.000 0.000
0.000 7.358 0.000
0.000 0.000 4.894
Sb Sn Ti
4 4 2
Cartesian
2.539 6.218 0.000 Sb
6.218 4.819 0.000 Sb
4.819 1.140 0.000 Sb
1.140 2.539 0.000 Sb
1.171 4.850 2.447 Sn
4.850 6.187 2.447 Sn
6.187 2.508 2.447 Sn
2.508 1.171 2.447 Sn
0.000 0.000 0.000 Ti
3.679 3.679 0.000 Ti
```

As for the density of states at the Fermi level: 1.00 states/eV per atom. For the raw total energy, the calculation gives -4.744 eV per atom.

***

No. 9
PrTh2Cd: optimized geometry, GGA-PBE.

```
PrTh2Cd
1.0
-1.549 -2.996 0.495
1.455 -2.875 -1.111
5.872 -3.199 10.744
Pr Th Cd
1 2 1
Cartesian
0.000 0.000 0.000 Pr
4.238 -2.855 7.713 Th
1.541 -6.215 2.415 Th
2.889 -4.535 5.064 Cd
```

As for the density of states at the Fermi level: 1.20 states/eV per atom. Its energy above the most stable polymorph in this dataset is 210 meV/atom.

***

No. 10
YNb2PdW: optimized geometry, GGA-PBE.

```
YNb2PdW
1.0
4.838 0.000 0.000
0.000 4.803 0.000
0.000 0.000 4.838
Y Nb Pd W
1 2 1 1
Cartesian
0.000 0.000 0.000 Y
0.000 0.000 2.419 Nb
2.419 0.000 0.000 Nb
2.419 2.402 2.419 Pd
0.000 2.402 0.000 W
```

As for the density of states at the Fermi level: 1.36 states/eV per atom. For the raw total energy, the calculation gives -6.562 eV per atom.

***

No. 11
LiHo2ThHg4: optimized geometry, GGA-PBE.

```
LiHo2ThHg4
1.0
5.084 0.000 0.000
2.542 4.403 0.000
2.542 1.468 8.947
Li Ho Th Hg
1 2 1 4
Cartesian
5.084 2.935 4.474 Li
7.626 4.403 6.527 Ho
2.542 1.468 2.421 Ho
0.000 0.000 0.000 Th
5.084 2.935 7.595 Hg
7.626 4.403 3.469 Hg
2.542 1.468 5.478 Hg
5.084 2.935 1.352 Hg
```

As for the density of states at the Fermi level: 0.82 states/eV per atom. For the raw total energy, the calculation gives -2.827 eV per atom.

***

No. 12
Pr4HIr2: optimized geometry, GGA-PBE.

```
Pr4HIr2
1.0
4.813 0.000 0.000
0.000 4.813 0.000
-2.406 -2.406 7.426
Pr H Ir
4 1 2
Cartesian
2.406 2.406 4.591 Pr
0.000 0.000 2.835 Pr
0.000 2.406 0.000 Pr
2.406 0.000 0.000 Pr
0.000 0.000 0.000 H
2.406 2.406 1.867 Ir
0.000 0.000 5.559 Ir
```

As for the density of states at the Fermi level: 0.74 states/eV per atom. For the raw total energy, the calculation gives -6.160 eV per atom.